Entry 1:
This record from Alexandria describes crystalline BaTlCdAg2 at its relaxed geometry. The functional is PBE-GGA.

The structure in POSCAR format:
```
BaTlCdAg2
1.0
4.704 0.000 0.000
0.000 4.704 0.000
-2.352 -2.352 6.402
Ba Tl Cd Ag
1 1 1 2
Cartesian
0.000 0.000 0.000
2.352 0.000 3.201
0.000 2.352 3.201
2.352 2.352 1.394
0.000 0.000 5.009
```

Space group: I-4m2
Energy of formation from the pure elements, eV/atom: -0.205
Electronic total energy, eV per atom: -2.386
ρ, g/cm³: 7.9

Entry 2:
This record from Alexandria describes crystalline K2CaAg at its relaxed geometry. The functional is PBE-GGA.

The structure in POSCAR format:
```
K2CaAg
1.0
-3.349 -10.884 -4.695
-1.013 -12.193 -1.430
-5.074 -11.192 -0.854
Ag Ca K
1 1 2
Cartesian
-2.359 -8.567 -1.745
-7.078 -25.702 -5.235
-9.258 -33.619 -6.848
-4.897 -17.784 -3.622
```

Space group: R-3m
ΔE to the lowest computed polymorph, kJ/mol of formula units: 73.6
Energy of formation from the pure elements, eV/atom: 0.176
Electronic total energy, eV per atom: -1.586
ρ, g/cm³: 2.0

Please write out number 2 again, unchanged.
This record from Alexandria describes crystalline K2CaAg at its relaxed geometry. The functional is PBE-GGA.

The structure in POSCAR format:
```
K2CaAg
1.0
-3.349 -10.884 -4.695
-1.013 -12.193 -1.430
-5.074 -11.192 -0.854
Ag Ca K
1 1 2
Cartesian
-2.359 -8.567 -1.745
-7.078 -25.702 -5.235
-9.258 -33.619 -6.848
-4.897 -17.784 -3.622
```

Space group: R-3m
ΔE to the lowest computed polymorph, kJ/mol of formula units: 73.6
Energy of formation from the pure elements, eV/atom: 0.176
Electronic total energy, eV per atom: -1.586
ρ, g/cm³: 2.0